Record 1
Below is Ba2Na2Co after structural relaxation, with properties calculated at the GGA-PBE level.

Unit cell a=6.7013 b=6.7013 c=8.2801 alpha=90.00 beta=90.00 gamma=90.00
Closest atoms and distances in Å follow each position.
Space group I4/mmm (No. 139)
One atom of each set of equivalent atoms:
Ba  0.0000  0.5000  0.2500  4 Na 3.42
Na  0.0000  0.0000  0.1662  1 Na 2.75, 1 Co 2.76
Co  0.0000  0.0000  0.5000  2 Na 2.76

## Properties
uncorrected energy = -2.025 eV per atom
total magnetization = 0.004 μB per atom
DOS at the Fermi energy = 1.765 states/eV/atom
formation energy from the elements = 0.692 eV/atom

---

Record 2
Below is AcThH2 after structural relaxation, with properties calculated at the GGA-PBE level.

Unit cell a=3.7650 b=3.7650 c=18.5659 alpha=90.00 beta=90.00 gamma=120.00
Closest atoms and distances in Å follow each position.
Space group R-3m (No. 166, hexagonal axes)
One atom of each set of equivalent atoms:
Ac  0.0000  0.0000  0.0000  6 H 2.81
Th  0.0000  0.0000  0.5000  6 H 2.54
H  0.0000  0.0000  0.2376  3 Th 2.54, 3 Ac 2.81

## Properties
uncorrected energy = -4.828 eV per atom
total magnetization = 0.000 μB per atom
DOS at the Fermi energy = 0.722 states/eV/atom
energy above the lowest structure with this stoichiometry = 0.0 meV/atom

---

Record 3
Below is Sr2TbSn3Pt4 after structural relaxation, with properties calculated at the GGA-PBE level.

Unit cell a=4.6812 b=4.6812 c=11.1667 alpha=90.00 beta=90.00 gamma=90.00
Closest atoms and distances in Å follow each position.
Space group P-4m2 (No. 115)
One atom of each set of equivalent atoms:
Sr  0.0000  0.5000  0.2287  8 Pt 3.46-3.61, 6 Sn 3.52-3.83, 2 Tb 3.83
Tb  0.0000  0.0000  0.5000  4 Pt 2.83
Sn  0.0000  0.5000  0.8797  5 Pt 2.65-2.70
Sn  0.5000  0.5000  0.5000  4 Pt 2.83
Pt  0.0000  0.0000  0.0000  4 Sn 2.70
Pt  0.0000  0.5000  0.6424  3 Sn 2.65-2.83, 2 Tb 2.83
Pt  0.5000  0.5000  0.0000  4 Sn 2.70

## Properties
uncorrected energy = -5.296 eV per atom
total magnetization = 0.000 μB per atom
DOS at the Fermi energy = 0.425 states/eV/atom
formation energy from the elements = -0.879 eV/atom

---

Record 4
Below is LiZr3Pb after structural relaxation, with properties calculated at the GGA-PBE level.

Unit cell a=4.8028 b=4.8028 c=4.8028 alpha=90.00 beta=90.00 gamma=90.00
Closest atoms and distances in Å follow each position.
Space group Pm-3m (No. 221)
One atom of each set of equivalent atoms:
Li  0.0000  0.0000  0.0000  6 Zr 2.40
Zr  0.0000  0.0000  0.5000  2 Li 2.40
Pb  0.5000  0.5000  0.5000  12 Zr 3.40

## Properties
uncorrected energy = -5.809 eV per atom
total magnetization = 0.000 μB per atom
DOS at the Fermi energy = 1.557 states/eV/atom
formation energy from the elements = 0.444 eV/atom
energy above the lowest structure with this stoichiometry = 0.0 meV/atom

---

Please write out number 4 again, unchanged.
Below is LiZr3Pb after structural relaxation, with properties calculated at the GGA-PBE level.

Unit cell a=4.8028 b=4.8028 c=4.8028 alpha=90.00 beta=90.00 gamma=90.00
Closest atoms and distances in Å follow each position.
Space group Pm-3m (No. 221)
One atom of each set of equivalent atoms:
Li  0.0000  0.0000  0.0000  6 Zr 2.40
Zr  0.0000  0.0000  0.5000  2 Li 2.40
Pb  0.5000  0.5000  0.5000  12 Zr 3.40

## Properties
uncorrected energy = -5.809 eV per atom
total magnetization = 0.000 μB per atom
DOS at the Fermi energy = 1.557 states/eV/atom
formation energy from the elements = 0.444 eV/atom
energy above the lowest structure with this stoichiometry = 0.0 meV/atom